No. 1
! Dy3Ga3GePd2 (PBE-GGA, relaxed); values from VASP
! excess energy over the best structure of this formula in the dataset = 0.311 eV/atom
&SYSTEM
  ibrav = 0, nat = 9, ntyp = 4
/
ATOMIC_SPECIES
Ge 72.64 Ge.upf
Ga 69.72 Ga.upf
Dy 162.50 Dy.upf
Pd 106.42 Pd.upf
CELL_PARAMETERS angstrom
7.636 0.000 0.000
-3.818 6.613 0.000
0.000 0.000 3.888
ATOMIC_POSITIONS crystal
Ge 0.000 0.000 0.500
Ga 0.403 0.000 0.500
Ga 0.000 0.403 0.500
Ga 0.597 0.597 0.500
Dy 0.719 0.000 0.000
Dy 0.281 0.281 0.000
Dy 0.000 0.719 0.000
Pd 0.333 0.667 0.000
Pd 0.667 0.333 0.000

=====

No. 2
! Dy4GaGe4Pd2 (PBE-GGA, relaxed); values from VASP
! VASP energy = -5.440 eV/atom
&SYSTEM
  ibrav = 0, nat = 11, ntyp = 4
/
ATOMIC_SPECIES
Dy 162.50 Dy.upf
Pd 106.42 Pd.upf
Ge 72.64 Ge.upf
Ga 69.72 Ga.upf
CELL_PARAMETERS angstrom
1.914 7.798 1.209
-2.051 7.846 -0.405
-2.508 -2.448 6.088
ATOMIC_POSITIONS crystal
Dy 0.413 0.413 0.619
Dy 0.587 0.587 0.381
Dy 0.654 0.654 0.927
Dy 0.346 0.346 0.073
Pd 0.783 0.783 0.359
Pd 0.217 0.217 0.641
Ge 0.191 0.191 0.242
Ge 0.059 0.059 0.668
Ge 0.809 0.809 0.758
Ge 0.941 0.941 0.332
Ga 0.000 0.000 0.000

=====

No. 3
! Dy3Ga3GePd2 (PBE-GGA, relaxed); values from VASP
! excess energy over the best structure of this formula in the dataset = 0.000 eV/atom
&SYSTEM
  ibrav = 0, nat = 9, ntyp = 4
/
ATOMIC_SPECIES
Dy 162.50 Dy.upf
Ga 69.72 Ga.upf
Ge 72.64 Ge.upf
Pd 106.42 Pd.upf
CELL_PARAMETERS angstrom
-2.500 -3.993 -5.774
-1.017 -2.469 6.957
-3.306 1.830 0.166
ATOMIC_POSITIONS crystal
Dy 0.396 0.000 0.000
Dy 0.000 0.396 0.000
Dy 0.604 0.604 0.000
Ga 0.000 0.731 0.500
Ga 0.731 0.000 0.500
Ga 0.269 0.269 0.500
Ge 0.000 0.000 0.000
Pd 0.333 0.667 0.500
Pd 0.667 0.333 0.500

=====

No. 4
! Tb2DyGa3Ge2Pd (PBE-GGA, relaxed); values from VASP
! VASP energy = -4.938 eV/atom
&SYSTEM
  ibrav = 0, nat = 9, ntyp = 5
/
ATOMIC_SPECIES
Tb 158.93 Tb.upf
Dy 162.50 Dy.upf
Ga 69.72 Ga.upf
Pd 106.42 Pd.upf
Ge 72.64 Ge.upf
CELL_PARAMETERS angstrom
-0.036 -4.208 -0.571
4.256 -0.789 5.546
-6.978 -0.062 0.893
ATOMIC_POSITIONS crystal
Tb 0.000 0.590 0.000
Tb 0.000 0.000 0.590
Dy 0.000 0.410 0.410
Ga 0.500 0.237 0.000
Ga 0.500 0.000 0.237
Ga 0.500 0.763 0.763
Pd 0.000 0.001 0.001
Ge 0.500 0.334 0.666
Ge 0.500 0.666 0.334